1.
! PBE B3C5, optimized geometry; values from VASP
&SYSTEM
  ibrav = 0, nat = 8, ntyp = 2
/
ATOMIC_SPECIES
C 12.01 C.upf
B 10.81 B.upf
CELL_PARAMETERS angstrom
-3.2838 1.7443 0.3198
-1.4151 -2.9830 1.7398
1.0687 1.4096 3.2861
ATOMIC_POSITIONS crystal
C 0.5000 0.5000 0.5000
C 0.2628 0.7372 0.7372
C 0.2628 0.2628 0.2628
C 0.7372 0.2628 0.7372
C 0.7372 0.7372 0.2628
B 0.0000 0.0000 0.5000
B 0.0000 0.5000 0.0000
B 0.5000 0.0000 0.0000
! ΔE to the lowest computed polymorph	105	meV/atom
! space group	P-43m
! V	52.0	Å³ per cell
! DFT formation energy	0.379	eV/atom
! crystal system	cubic


2.
! PBE B7C5, optimized geometry; values from VASP
&SYSTEM
  ibrav = 0, nat = 12, ntyp = 2
/
ATOMIC_SPECIES
C 12.01 C.upf
B 10.81 B.upf
CELL_PARAMETERS angstrom
-2.4276 4.1324 3.4915
-4.3239 2.1878 3.4172
2.9110 -2.9773 3.6258
ATOMIC_POSITIONS crystal
C 0.3363 0.3363 0.1507
C 0.5888 0.5888 0.0602
C 0.2638 0.2638 0.8884
C 0.9133 0.9133 0.2265
C 0.5833 0.5833 0.5743
B 0.6533 0.6533 0.3537
B 0.8541 0.8541 0.5024
B 0.0154 0.0154 0.5023
B 0.3301 0.3301 0.6731
B 0.2641 0.2641 0.3678
B 0.6680 0.6680 0.8493
B 0.0295 0.0295 0.1013
! ΔE to the lowest computed polymorph	205	meV/atom
! space group	Cm
! V	84.7	Å³ per cell
! DFT formation energy	0.369	eV/atom
! crystal system	monoclinic


3.
! PBE B3C7, optimized geometry; values from VASP
&SYSTEM
  ibrav = 0, nat = 10, ntyp = 2
/
ATOMIC_SPECIES
C 12.01 C.upf
B 10.81 B.upf
CELL_PARAMETERS angstrom
-1.2896 1.9807 6.1372
1.2896 -1.9807 6.1372
1.2896 1.9807 -6.1372
ATOMIC_POSITIONS crystal
C 0.7857 0.8011 0.9846
C 0.7268 0.5000 0.2268
C 0.4188 0.3982 0.0207
C 0.5518 0.2977 0.2541
C 0.6225 0.6018 0.0207
C 0.1835 0.1989 0.9846
C 0.9565 0.7023 0.2541
B 0.1774 0.9024 0.2750
B 0.9544 0.0000 0.9544
B 0.3726 0.0976 0.2750
! ΔE to the lowest computed polymorph	99	meV/atom
! space group	Imm2
! V	62.7	Å³ per cell
! DFT formation energy	0.361	eV/atom
! crystal system	orthorhombic


4.
! PBE BC, optimized geometry; values from VASP
&SYSTEM
  ibrav = 0, nat = 12, ntyp = 2
/
ATOMIC_SPECIES
C 12.01 C.upf
B 10.81 B.upf
CELL_PARAMETERS angstrom
-0.6250 -0.1337 2.3819
2.8182 -3.6977 0.5319
4.9699 4.6265 1.5639
ATOMIC_POSITIONS crystal
C 0.0000 0.6758 0.6807
C 0.5000 0.1495 0.6839
C 0.0000 0.6575 0.9027
C 0.5000 0.8295 0.6097
C 0.5000 0.5038 0.9737
C 0.5000 0.1839 0.8994
B 0.0000 0.9979 0.9911
B 0.5000 0.5181 0.2024
B 0.0000 0.3550 0.3460
B 0.5000 0.8152 0.3809
B 0.0000 0.9783 0.2373
B 0.0000 0.3354 0.5923
! ΔE to the lowest computed polymorph	300	meV/atom
! space group	P2/m
! V	80.2	Å³ per cell
! DFT formation energy	0.451	eV/atom
! crystal system	monoclinic


5.
! PBE BC, optimized geometry; values from VASP
&SYSTEM
  ibrav = 0, nat = 12, ntyp = 2
/
ATOMIC_SPECIES
B 10.81 B.upf
C 12.01 C.upf
CELL_PARAMETERS angstrom
6.4683 0.2555 -1.2633
5.9015 2.6601 -1.2633
0.0171 0.0040 5.1118
ATOMIC_POSITIONS crystal
B 0.0128 0.0128 0.0217
B 0.5985 0.5985 0.5503
B 0.3152 0.3152 0.6613
B 0.3289 0.3289 0.1557
B 0.9995 0.9995 0.4670
B 0.9153 0.9153 0.7265
C 0.6685 0.6685 0.8472
C 0.9126 0.9126 0.1981
C 0.5979 0.5979 0.0560
C 0.2402 0.2402 0.3665
C 0.6738 0.6738 0.3241
C 0.2369 0.2369 0.8756
! ΔE to the lowest computed polymorph	251	meV/atom
! space group	Cm
! V	80.3	Å³ per cell
! DFT formation energy	0.402	eV/atom
! crystal system	monoclinic


6.
! PBE BC, optimized geometry; values from VASP
&SYSTEM
  ibrav = 0, nat = 10, ntyp = 2
/
ATOMIC_SPECIES
B 10.81 B.upf
C 12.01 C.upf
CELL_PARAMETERS angstrom
4.0360 0.0145 -1.5562
3.1801 2.4852 -1.5562
0.8069 0.2795 6.1615
ATOMIC_POSITIONS crystal
B 0.0156 0.0156 0.9888
B 0.5861 0.5861 0.6698
B 0.2555 0.2555 0.0679
B 0.3782 0.3782 0.8357
B 0.7939 0.7939 0.4562
C 0.1626 0.1626 0.8089
C 0.5880 0.5880 0.3816
C 0.0171 0.0171 0.2615
C 0.8227 0.8227 0.1994
C 0.3803 0.3803 0.5802
! ΔE to the lowest computed polymorph	228	meV/atom
! space group	Cm
! V	65.0	Å³ per cell
! DFT formation energy	0.379	eV/atom
! crystal system	monoclinic


Which value of ΔE to the lowest computed polymorph does entry 5 give?
251 meV/atom


DFT formation energy of number 4 (BC)?
0.451 eV/atom


Copy entry 2 word for word.
! PBE B7C5, optimized geometry; values from VASP
&SYSTEM
  ibrav = 0, nat = 12, ntyp = 2
/
ATOMIC_SPECIES
C 12.01 C.upf
B 10.81 B.upf
CELL_PARAMETERS angstrom
-2.4276 4.1324 3.4915
-4.3239 2.1878 3.4172
2.9110 -2.9773 3.6258
ATOMIC_POSITIONS crystal
C 0.3363 0.3363 0.1507
C 0.5888 0.5888 0.0602
C 0.2638 0.2638 0.8884
C 0.9133 0.9133 0.2265
C 0.5833 0.5833 0.5743
B 0.6533 0.6533 0.3537
B 0.8541 0.8541 0.5024
B 0.0154 0.0154 0.5023
B 0.3301 0.3301 0.6731
B 0.2641 0.2641 0.3678
B 0.6680 0.6680 0.8493
B 0.0295 0.0295 0.1013
! ΔE to the lowest computed polymorph	205	meV/atom
! space group	Cm
! V	84.7	Å³ per cell
! DFT formation energy	0.369	eV/atom
! crystal system	monoclinic


ΔE to the lowest computed polymorph of number 2 (B7C5)?
205 meV/atom